First-principles (PBE) data for an optimized crystal structure of Ni2Pb, as listed in Alexandria.

a b c (Å): 3.6886 3.6886 14.8532
angles (deg): 90.00 90.00 90.00
Atoms (fractional coordinates):
Ni1 0.0000 0.2500 0.2959
Ni2 0.0000 0.2500 0.4541
Ni3 0.0000 0.7500 0.5459
Ni4 0.0000 0.7500 0.7041
Ni5 0.5000 0.2500 0.0459
Ni6 0.5000 0.2500 0.2041
Ni7 0.5000 0.7500 0.7959
Ni8 0.5000 0.7500 0.9541
Pb1 0.0000 0.2500 0.8750
Pb2 0.0000 0.7500 0.1250
Pb3 0.5000 0.2500 0.6250
Pb4 0.5000 0.7500 0.3750

The energy of formation from the pure elements comes out at 0.367 eV/atom. As for the density: 10668 kg/m3.

=====

First-principles (PBE) data for an optimized crystal structure of NiPb3, as listed in Alexandria.

a b c (Å): 5.1786 5.1786 5.1786
angles (deg): 90.00 90.00 90.00
Atoms (fractional coordinates):
Ni1 0.0000 0.0000 0.0000
Pb1 0.0000 0.0000 0.5000
Pb2 0.0000 0.5000 0.0000
Pb3 0.5000 0.0000 0.0000

The energy of formation from the pure elements comes out at 0.329 eV/atom. As for the density: 8134 kg/m3.

=====

First-principles (PBE) data for an optimized crystal structure of Ni4Pb5, as listed in Alexandria.

a b c (Å): 6.6282 6.6282 6.6282
angles (deg): 99.12 99.12 133.09
Atoms (fractional coordinates):
Ni1 0.0000 0.3632 0.3632
Ni2 0.0000 0.6368 0.6368
Ni3 0.3632 0.0000 0.3632
Ni4 0.6368 0.0000 0.6368
Pb1 0.0000 0.0000 0.0000
Pb2 0.3146 0.3146 0.6292
Pb3 0.3146 0.6854 0.0000
Pb4 0.6854 0.3146 0.0000
Pb5 0.6854 0.6854 0.3708

The energy of formation from the pure elements comes out at 0.479 eV/atom. As for the density: 10816 kg/m3.

=====

First-principles (PBE) data for an optimized crystal structure of NiPb3, as listed in Alexandria.

a b c (Å): 5.9410 5.9410 5.9410
angles (deg): 90.00 90.00 90.00
Atoms (fractional coordinates):
Ni1 0.0000 0.0000 0.0000
Ni2 0.5000 0.5000 0.5000
Pb1 0.0000 0.2500 0.5000
Pb2 0.0000 0.7500 0.5000
Pb3 0.2500 0.5000 0.0000
Pb4 0.5000 0.0000 0.2500
Pb5 0.5000 0.0000 0.7500
Pb6 0.7500 0.5000 0.0000

The energy of formation from the pure elements comes out at 0.411 eV/atom. As for the density: 10775 kg/m3.

=====

First-principles (PBE) data for an optimized crystal structure of NiPb3, as listed in Alexandria.

a b c (Å): 10.3747 10.3747 3.3843
angles (deg): 90.00 90.00 120.00
Atoms (fractional coordinates):
Ni1 0.0000 0.0000 0.0000
Ni2 0.3333 0.6667 0.6667
Ni3 0.6667 0.3333 0.3333
Pb1 0.0000 0.5000 0.0000
Pb2 0.1667 0.3333 0.3333
Pb3 0.1667 0.8333 0.3333
Pb4 0.3333 0.1667 0.6667
Pb5 0.5000 0.0000 0.0000
Pb6 0.5000 0.5000 0.0000
Pb7 0.6667 0.8333 0.3333
Pb8 0.8333 0.1667 0.6667
Pb9 0.8333 0.6667 0.6667

The energy of formation from the pure elements comes out at 0.456 eV/atom. As for the density: 10743 kg/m3.

=====

First-principles (PBE) data for an optimized crystal structure of NiPb3, as listed in Alexandria.

a b c (Å): 3.3848 3.3848 8.7638
angles (deg): 90.00 90.00 90.00
Atoms (fractional coordinates):
Ni1 0.0000 0.0000 0.0000
Pb1 0.0000 0.0000 0.5000
Pb2 0.5000 0.5000 0.1883
Pb3 0.5000 0.5000 0.8117

The energy of formation from the pure elements comes out at 0.133 eV/atom. As for the density: 11251 kg/m3.

=====

First-principles (PBE) data for an optimized crystal structure of Ni3Pb5, as listed in Alexandria.

a b c (Å): 8.9357 11.4918 3.6989
angles (deg): 90.00 90.00 90.00
Atoms (fractional coordinates):
Ni1 0.0000 0.0000 0.0000
Ni2 0.0000 0.1684 0.5000
Ni3 0.0000 0.8316 0.5000
Ni4 0.5000 0.3316 0.5000
Ni5 0.5000 0.5000 0.0000
Ni6 0.5000 0.6684 0.5000
Pb1 0.0000 0.5000 0.0000
Pb2 0.2109 0.0000 0.5000
Pb3 0.2500 0.2500 0.0000
Pb4 0.2500 0.7500 0.0000
Pb5 0.2891 0.5000 0.5000
Pb6 0.5000 0.0000 0.0000
Pb7 0.7109 0.5000 0.5000
Pb8 0.7500 0.2500 0.0000
Pb9 0.7500 0.7500 0.0000
Pb10 0.7891 0.0000 0.5000

The energy of formation from the pure elements comes out at 0.324 eV/atom. As for the density: 10598 kg/m3.

=====

First-principles (PBE) data for an optimized crystal structure of NiPb3, as listed in Alexandria.

a b c (Å): 3.4374 3.4921 8.8450
angles (deg): 90.00 90.00 90.00
Atoms (fractional coordinates):
Ni1 0.0000 0.0000 0.0000
Pb1 0.0000 0.5000 0.2347
Pb2 0.5000 0.0000 0.5238
Pb3 0.5000 0.5000 0.8596

The energy of formation from the pure elements comes out at 0.178 eV/atom. As for the density: 10640 kg/m3.

=====

First-principles (PBE) data for an optimized crystal structure of Ni2Pb, as listed in Alexandria.

a b c (Å): 3.3876 3.3876 8.0559
angles (deg): 90.00 90.00 90.00
Atoms (fractional coordinates):
Ni1 0.0000 0.0000 0.1729
Ni2 0.0000 0.0000 0.8271
Ni3 0.5000 0.5000 0.3271
Ni4 0.5000 0.5000 0.6729
Pb1 0.0000 0.0000 0.5000
Pb2 0.5000 0.5000 0.0000

The energy of formation from the pure elements comes out at 0.270 eV/atom. As for the density: 11661 kg/m3.

=====

First-principles (PBE) data for an optimized crystal structure of Ni4Pb3, as listed in Alexandria.

a b c (Å): 3.2986 3.2986 23.5402
angles (deg): 90.00 90.00 90.00
Atoms (fractional coordinates):
Ni1 0.0000 0.0000 0.0646
Ni2 0.0000 0.0000 0.3858
Ni3 0.0000 0.0000 0.6142
Ni4 0.0000 0.0000 0.9354
Ni5 0.5000 0.5000 0.1142
Ni6 0.5000 0.5000 0.4354
Ni7 0.5000 0.5000 0.5646
Ni8 0.5000 0.5000 0.8858
Pb1 0.0000 0.0000 0.1824
Pb2 0.0000 0.0000 0.5000
Pb3 0.0000 0.0000 0.8176
Pb4 0.5000 0.5000 0.0000
Pb5 0.5000 0.5000 0.3176
Pb6 0.5000 0.5000 0.6824

The energy of formation from the pure elements comes out at 0.229 eV/atom. As for the density: 11104 kg/m3.

=====

First-principles (PBE) data for an optimized crystal structure of Ni2Pb, as listed in Alexandria.

a b c (Å): 9.4734 3.4370 6.8580
angles (deg): 90.00 121.41 90.00
Atoms (fractional coordinates):
Ni1 0.1469 0.0000 0.1682
Ni2 0.1737 0.0000 0.5484
Ni3 0.3263 0.5000 0.4516
Ni4 0.3531 0.5000 0.8318
Ni5 0.6469 0.5000 0.1682
Ni6 0.6737 0.5000 0.5484
Ni7 0.8263 0.0000 0.4516
Ni8 0.8531 0.0000 0.8318
Pb1 0.0590 0.5000 0.7883
Pb2 0.4410 0.0000 0.2117
Pb3 0.5590 0.0000 0.7883
Pb4 0.9410 0.5000 0.2117

The energy of formation from the pure elements comes out at 0.228 eV/atom. As for the density: 11313 kg/m3.

=====

First-principles (PBE) data for an optimized crystal structure of Ni2Pb, as listed in Alexandria.

a b c (Å): 6.1005 6.1005 6.1005
angles (deg): 90.00 90.00 90.00
Atoms (fractional coordinates):
Ni1 0.1098 0.1098 0.1098
Ni2 0.1098 0.3902 0.6098
Ni3 0.3902 0.6098 0.1098
Ni4 0.3902 0.8902 0.6098
Ni5 0.6098 0.1098 0.3902
Ni6 0.6098 0.3902 0.8902
Ni7 0.8902 0.6098 0.3902
Ni8 0.8902 0.8902 0.8902
Pb1 0.0000 0.0000 0.5000
Pb2 0.0000 0.5000 0.0000
Pb3 0.5000 0.0000 0.0000
Pb4 0.5000 0.5000 0.5000

The energy of formation from the pure elements comes out at 0.681 eV/atom. As for the density: 9496 kg/m3.